# 1
Here is crystalline CsKLiPb2 at its relaxed geometry from Alexandria via LeMat-Bulk. Energies are from PBE.

Summary:
symmetry: P4/mmm
energy of formation from the pure elements: -14 kJ/mol of formula units
V: 187.9 Å³/cell

a = 5.4784 Å, b = 5.4784 Å, c = 6.2601 Å
α = 90.00°, β = 90.00°, γ = 90.00°
Fractional positions:
Cs 0.0000 0.0000 0.0000
K 0.5000 0.5000 0.0000
Li 0.5000 0.5000 0.5000
Pb 0.0000 0.5000 0.5000
Pb 0.5000 0.0000 0.5000

# 2
Here is crystalline BaPa3Os4N12 at its relaxed geometry from Alexandria via LeMat-Bulk. Energies are from PBE.

Summary:
symmetry: R32
V: 355.9 Å³/cell
formation energy (no corrections): -6.28 eV/f.u.

a = 7.3024 Å, b = 7.3024 Å, c = 7.3024 Å
α = 102.64°, β = 102.64°, γ = 102.64°
Fractional positions:
Ba 0.0000 0.0000 0.0000
Pa 0.0000 0.5612 0.4388
Pa 0.4388 0.0000 0.5612
Pa 0.5612 0.4388 0.0000
Os 0.0579 0.5000 0.9421
Os 0.5000 0.5000 0.5000
Os 0.5000 0.9421 0.0579
Os 0.9421 0.0579 0.5000
N 0.0169 0.6247 0.7598
N 0.1039 0.8961 0.5000
N 0.2402 0.3753 0.9831
N 0.3393 0.6607 0.5000
N 0.3753 0.9831 0.2402
N 0.5000 0.1039 0.8961
N 0.5000 0.3393 0.6607
N 0.6247 0.7598 0.0169
N 0.6607 0.5000 0.3393
N 0.7598 0.0169 0.6247
N 0.8961 0.5000 0.1039
N 0.9831 0.2402 0.3753

# 3
Here is crystalline KGaSn3 at its relaxed geometry from Alexandria via LeMat-Bulk. Energies are from PBE.

Summary:
symmetry: I4mm
energy of formation from the pure elements: -68 kJ/mol of formula units
V: 302.0 Å³/cell
energy relative to the lowest polymorph listed for this composition: 0.0 meV/atom

a = 5.2340 Å, b = 5.2340 Å, c = 11.0241 Å
α = 90.00°, β = 90.00°, γ = 90.00°
Fractional positions:
K 0.0000 0.0000 0.0000
K 0.5000 0.5000 0.5000
Ga 0.0000 0.0000 0.6383
Ga 0.5000 0.5000 0.1383
Sn 0.0000 0.0000 0.3888
Sn 0.0000 0.5000 0.2473
Sn 0.0000 0.5000 0.7473
Sn 0.5000 0.0000 0.2473
Sn 0.5000 0.0000 0.7473
Sn 0.5000 0.5000 0.8888